AlReAg2 | PBEsol | optimized geometry

Fermi-level density of states: 2.79 states/eV/cell
calculated volume: 62.05 Å³/f.u.
DFT total energy: -5.534 eV/atom
formation energy: 477 meV/atom

a b c (Å): 3.7507 3.7507 5.1467
angles (deg): 111.37 111.37 90.00
Positions (direct):
1 Ag 0.7500 0.2500 0.5000
2 Ag 0.2500 0.7500 0.5000
3 Al 0.5000 0.5000 0.0000
4 Re 0.0000 0.0000 0.0000



TaSbMo2 | PBEsol | optimized geometry

Fermi-level density of states: 3.78 states/eV/cell
calculated volume: 70.31 Å³/f.u.
DFT total energy: -9.934 eV/atom
uncorrected formation energy: 0.91 eV/f.u.

a b c (Å): 3.1259 3.1259 7.1961
angles (deg): 90.00 90.00 90.00
Positions (direct):
1 Sb 0.0000 0.0000 0.4850
2 Ta 0.5000 0.5000 0.7796
3 Mo 0.5000 0.5000 0.2184
4 Mo 0.0000 0.0000 0.0169



KTaTiO5 | PBEsol | optimized geometry

Fermi-level density of states: 0.00 states/eV/cell
calculated volume: 112.20 Å³/f.u.
DFT total energy: -8.842 eV/atom
uncorrected formation energy: -22.48 eV/f.u.

a b c (Å): 3.7913 6.4123 18.4613
angles (deg): 90.00 90.00 90.00
Positions (direct):
1 O 0.2500 0.2389 0.9199
2 O 0.2500 0.0638 0.0716
3 O 0.2500 0.3439 0.2962
4 O 0.7500 0.3546 0.0088
5 O 0.2500 0.7389 0.5801
6 O 0.2500 0.6454 0.9912
7 O 0.2500 0.8439 0.2038
8 O 0.7500 0.7611 0.0801
9 O 0.7500 0.2611 0.4199
10 O 0.2500 0.4638 0.1205
11 O 0.2500 0.5638 0.4284
12 O 0.2500 0.9638 0.3795
13 O 0.7500 0.8546 0.4912
14 O 0.7500 0.0362 0.6205
15 O 0.7500 0.9362 0.9284
16 O 0.7500 0.5362 0.8795
17 O 0.2500 0.1454 0.5088
18 O 0.7500 0.6561 0.7038
19 O 0.7500 0.1561 0.7962
20 O 0.7500 0.4362 0.5716
21 K 0.2500 0.2833 0.6956
22 K 0.7500 0.2167 0.1956
23 K 0.7500 0.7167 0.3044
24 K 0.2500 0.7833 0.8044
25 Ti 0.7500 0.1804 0.5339
26 Ti 0.2500 0.8196 0.4661
27 Ti 0.2500 0.3196 0.0339
28 Ti 0.7500 0.6804 0.9661
29 Ta 0.7500 0.2280 0.8906
30 Ta 0.2500 0.2720 0.3906
31 Ta 0.2500 0.7720 0.1094
32 Ta 0.7500 0.7280 0.6094



CoTc2AsO | PBEsol | optimized geometry

Fermi-level density of states: 4.03 states/eV/cell
calculated volume: 60.58 Å³/f.u.
DFT total energy: -8.065 eV/atom
uncorrected formation energy: 0.30 eV/f.u.

a b c (Å): 3.5725 4.1180 4.1180
angles (deg): 90.00 90.00 90.00
Positions (direct):
1 Tc 0.0000 0.5000 0.0000
2 Tc 0.0000 0.0000 0.5000
3 As 0.5000 0.5000 0.5000
4 Co 0.5000 0.0000 0.0000
5 O 0.0000 0.0000 0.0000



Ho6Mn4Al43 | PBEsol | optimized geometry

Fermi-level density of states: 51.51 states/eV/cell
calculated volume: 873.15 Å³/f.u.
DFT total energy: -4.883 eV/atom
formation energy: -267 meV/atom

a b c (Å): 10.7543 10.7543 17.4349
angles (deg): 90.00 90.00 120.00
Site moments in Bohr magnetons follow the coordinates.
Positions (direct):
1 Ho 0.0000 0.5320 0.0947  0.01
2 Ho 0.4680 0.4680 0.4053  0.01
3 Ho 0.5320 0.5320 0.5947  0.01
4 Ho 0.4680 0.0000 0.9053  0.01
5 Ho 0.4680 0.0000 0.5947  0.01
6 Ho 0.0000 0.4680 0.9053  0.01
7 Ho 0.5320 0.5320 0.9053  0.01
8 Ho 0.0000 0.4680 0.5947  0.01
9 Ho 0.0000 0.5320 0.4053  0.01
10 Ho 0.4680 0.4680 0.0947  0.01
11 Ho 0.5320 0.0000 0.4053  0.01
12 Ho 0.5320 0.0000 0.0947  0.01
13 Al 0.1543 0.0000 0.8837  -0.01
14 Al 0.8554 0.4545 0.2500  0.00
15 Al 0.8457 0.8457 0.6163  -0.01
16 Al 0.4009 0.5455 0.2500  0.00
17 Al 0.5991 0.4545 0.7500  0.00
18 Al 0.2467 0.7533 0.0000  0.00
19 Al 0.0000 0.8561 0.7500  -0.01
20 Al 0.8554 0.4009 0.7500  0.00
21 Al 0.0000 0.8457 0.1163  -0.01
22 Al 0.4933 0.2467 0.5000  0.00
23 Al 0.2491 0.0000 0.4699  -0.01
24 Al 0.6099 0.8428 0.8342  0.00
25 Al 0.5067 0.7533 0.0000  0.00
26 Al 0.7509 0.0000 0.5301  -0.01
27 Al 0.7533 0.2467 0.5000  0.00
28 Al 0.7533 0.5067 0.0000  0.00
29 Al 0.3901 0.1572 0.3342  0.00
30 Al 0.4933 0.2467 0.0000  0.00
31 Al 0.6667 0.3333 0.8731  0.00
32 Al 0.3333 0.6667 0.6269  0.00
33 Al 0.1543 0.0000 0.6163  -0.01
34 Al 0.8428 0.6099 0.6658  0.00
35 Al 0.7533 0.5067 0.5000  0.00
36 Al 0.7509 0.7509 0.0301  -0.01
37 Al 0.1543 0.1543 0.1163  -0.01
38 Al 0.1439 0.0000 0.2500  -0.01
39 Al 0.4545 0.5991 0.7500  0.00
40 Al 0.0000 0.2491 0.4699  -0.01
41 Al 0.2491 0.0000 0.0301  -0.01
42 Al 0.3901 0.2330 0.8342  0.00
43 Al 0.2467 0.7533 0.5000  0.00
44 Al 0.4009 0.8554 0.7500  0.00
45 Al 0.0000 0.7509 0.5301  -0.01
46 Al 0.1446 0.5991 0.2500  0.00
47 Al 0.6667 0.3333 0.3731  0.00
48 Al 0.7670 0.1572 0.6658  0.00
49 Al 0.6667 0.3333 0.6269  0.00
50 Al 0.0000 0.8457 0.3837  -0.01
51 Al 0.2330 0.8428 0.3342  0.00
52 Al 0.5455 0.1446 0.7500  0.00
53 Al 0.4545 0.8554 0.2500  0.00
54 Al 0.2330 0.8428 0.1658  0.00
55 Al 0.8428 0.2330 0.1658  0.00
56 Al 0.3333 0.6667 0.8731  0.00
57 Al 0.5991 0.1446 0.2500  0.00
58 Al 0.1543 0.1543 0.3837  -0.01
59 Al 0.2491 0.2491 0.5301  -0.01
60 Al 0.1439 0.1439 0.7500  -0.01
61 Al 0.1572 0.3901 0.1658  0.00
62 Al 0.2467 0.4933 0.5000  0.00
63 Al 0.1572 0.7670 0.8342  0.00
64 Al 0.8428 0.2330 0.3342  0.00
65 Al 0.6099 0.7670 0.3342  0.00
66 Al 0.8561 0.8561 0.2500  -0.01
67 Al 0.8457 0.8457 0.8837  -0.01
68 Al 0.3333 0.6667 0.3731  0.00
69 Al 0.1446 0.5455 0.7500  0.00
70 Al 0.6099 0.7670 0.1658  0.00
71 Al 0.8428 0.6099 0.8342  0.00
72 Al 0.6667 0.3333 0.1269  0.00
73 Al 0.2491 0.2491 0.9699  -0.01
74 Al 0.6099 0.8428 0.6658  0.00
75 Al 0.0000 0.1439 0.2500  -0.01
76 Al 0.7670 0.1572 0.8342  0.00
77 Al 0.8457 0.0000 0.3837  -0.01
78 Al 0.7509 0.0000 0.9699  -0.01
79 Al 0.8561 0.0000 0.7500  -0.01
80 Al 0.1572 0.7670 0.6658  0.00
81 Al 0.0000 0.2491 0.0301  -0.01
82 Al 0.0000 0.7509 0.9699  -0.01
83 Al 0.7509 0.7509 0.4699  -0.01
84 Al 0.3901 0.2330 0.6658  0.00
85 Al 0.2330 0.3901 0.8342  0.00
86 Al 0.8457 0.0000 0.1163  -0.01
87 Al 0.1572 0.3901 0.3342  0.00
88 Al 0.7670 0.6099 0.3342  0.00
89 Al 0.2330 0.3901 0.6658  0.00
90 Al 0.7670 0.6099 0.1658  0.00
91 Al 0.0000 0.1543 0.8837  -0.01
92 Al 0.3333 0.6667 0.1269  0.00
93 Al 0.7533 0.2467 0.0000  0.00
94 Al 0.3901 0.1572 0.1658  0.00
95 Al 0.5455 0.4009 0.2500  0.00
96 Al 0.2467 0.4933 0.0000  0.00
97 Al 0.5067 0.7533 0.5000  0.00
98 Al 0.0000 0.1543 0.6163  -0.01
99 Mn 0.0000 0.2678 0.7500  0.72
100 Mn 0.0000 0.7322 0.2500  0.72
101 Mn 0.0000 0.0000 0.0000  1.42
102 Mn 0.2678 0.0000 0.7500  0.72
103 Mn 0.7322 0.7322 0.7500  0.72
104 Mn 0.7322 0.0000 0.2500  0.72
105 Mn 0.2678 0.2678 0.2500  0.72
106 Mn 0.0000 0.0000 0.5000  1.42



TaCuRh | PBEsol | optimized geometry

Fermi-level density of states: 1.84 states/eV/cell
calculated volume: 42.40 Å³/f.u.
DFT total energy: -8.653 eV/atom
formation energy: -312 meV/atom

a b c (Å): 2.8406 3.6735 4.6798
angles (deg): 113.11 107.67 90.00
Positions (direct):
1 Rh 0.6633 0.6633 0.3265
2 Cu 0.0026 0.0026 0.0053
3 Ta 0.3341 0.3341 0.6682



> Among the records above, which one has the lowest DFT total energy?

TaSbMo2



Repeat the second record exactly.
TaSbMo2 | PBEsol | optimized geometry

Fermi-level density of states: 3.78 states/eV/cell
calculated volume: 70.31 Å³/f.u.
DFT total energy: -9.934 eV/atom
uncorrected formation energy: 0.91 eV/f.u.

a b c (Å): 3.1259 3.1259 7.1961
angles (deg): 90.00 90.00 90.00
Positions (direct):
1 Sb 0.0000 0.0000 0.4850
2 Ta 0.5000 0.5000 0.7796
3 Mo 0.5000 0.5000 0.2184
4 Mo 0.0000 0.0000 0.0169